# Gd3CuSiS7, relaxed, DFT GGA-PBEsol
# Formation energy (no corrections) ... -1.6076 eV/atom
# ρ ... 5.5 Mg/m³
# Total moment ... 42.0 μB/cell
data_Gd3CuSiS7
_chemical_formula_sum 'Gd6 Cu2 Si2 S14'
_cell_length_a 9.8444
_cell_length_b 9.8444
_cell_length_c 5.6248
_cell_angle_alpha 90.00
_cell_angle_beta 90.00
_cell_angle_gamma 120.00
_space_group_name_H-M_alt 'P 1'
_space_group_IT_number 1
loop_
_space_group_symop_operation_xyz
'x,y,z'
loop_
_atom_site_label
_atom_site_fract_x
_atom_site_fract_y
_atom_site_fract_z
Gd1 0.1271 0.3571 0.0000
Gd2 0.2300 0.8729 0.0000
Gd3 0.3571 0.2300 0.5000
Gd4 0.6429 0.7700 0.0000
Gd5 0.7700 0.1271 0.5000
Gd6 0.8729 0.6429 0.5000
Cu1 0.0000 0.0000 0.4680
Cu2 0.0000 0.0000 0.9680
Si1 0.3333 0.6667 0.5864
Si2 0.6667 0.3333 0.0864
S1 0.0915 0.2563 0.4832
S2 0.1054 0.5839 0.7349
S3 0.1648 0.9085 0.4832
S4 0.2563 0.1648 0.9832
S5 0.3333 0.6667 0.2130
S6 0.4161 0.5215 0.7349
S7 0.4785 0.8946 0.7349
S8 0.5215 0.1054 0.2349
S9 0.5839 0.4785 0.2349
S10 0.6667 0.3333 0.7130
S11 0.7437 0.8352 0.4832
S12 0.8352 0.0915 0.9832
S13 0.8946 0.4161 0.2349
S14 0.9085 0.7437 0.9832

=====

# SrGdCuS3, relaxed, DFT GGA-PBEsol
# Formation energy (no corrections) ... -1.7424 eV/atom
# ρ ... 5.3 Mg/m³
# Total moment ... 28.0 μB/cell
data_SrGdCuS3
_chemical_formula_sum 'Sr4 Gd4 Cu4 S12'
_cell_length_a 10.2387
_cell_length_b 3.9038
_cell_length_c 12.7812
_cell_angle_alpha 90.00
_cell_angle_beta 90.00
_cell_angle_gamma 90.00
_space_group_name_H-M_alt 'P 1'
_space_group_IT_number 1
loop_
_space_group_symop_operation_xyz
'x,y,z'
loop_
_atom_site_label
_atom_site_fract_x
_atom_site_fract_y
_atom_site_fract_z
Sr1 0.2200 0.2500 0.0022
Sr2 0.2799 0.7500 0.5022
Sr3 0.7200 0.2500 0.4978
Sr4 0.7800 0.7500 0.9978
Gd1 0.0177 0.7500 0.2611
Gd2 0.4823 0.2500 0.7611
Gd3 0.5177 0.7500 0.2389
Gd4 0.9823 0.2500 0.7389
Cu1 0.2328 0.7500 0.7763
Cu2 0.2672 0.2500 0.2763
Cu3 0.7328 0.7500 0.7237
Cu4 0.7672 0.2500 0.2237
S1 0.0501 0.7500 0.8816
S2 0.0970 0.2500 0.3943
S3 0.2376 0.2500 0.6741
S4 0.2624 0.7500 0.1741
S5 0.4030 0.7500 0.8943
S6 0.4499 0.2500 0.3816
S7 0.5501 0.7500 0.6184
S8 0.5970 0.2500 0.1057
S9 0.7376 0.2500 0.8259
S10 0.7624 0.7500 0.3259
S11 0.9030 0.7500 0.6057
S12 0.9499 0.2500 0.1184

=====

# Gd3Cu3Sb4, relaxed, DFT GGA-PBEsol
# Formation energy (no corrections) ... -0.7971 eV/atom
# ρ ... 9.0 Mg/m³
# Total moment ... 42.0 μB/cell
data_Gd3Cu3Sb4
_chemical_formula_sum 'Gd6 Cu6 Sb8'
_cell_length_a 8.2072
_cell_length_b 8.2072
_cell_length_c 8.2072
_cell_angle_alpha 109.47
_cell_angle_beta 109.47
_cell_angle_gamma 109.47
_space_group_name_H-M_alt 'P 1'
_space_group_IT_number 1
loop_
_space_group_symop_operation_xyz
'x,y,z'
loop_
_atom_site_label
_atom_site_fract_x
_atom_site_fract_y
_atom_site_fract_z
Gd1 0.1250 0.7500 0.8750
Gd2 0.2500 0.6250 0.3750
Gd3 0.3750 0.2500 0.6250
Gd4 0.6250 0.3750 0.2500
Gd5 0.7500 0.8750 0.1250
Gd6 0.8750 0.1250 0.7500
Cu1 0.1250 0.8750 0.2500
Cu2 0.2500 0.1250 0.8750
Cu3 0.3750 0.6250 0.7500
Cu4 0.6250 0.7500 0.3750
Cu5 0.7500 0.3750 0.6250
Cu6 0.8750 0.2500 0.1250
Sb1 0.0000 0.3380 0.5000
Sb2 0.0000 0.8380 0.5000
Sb3 0.1620 0.1620 0.1620
Sb4 0.3380 0.5000 0.0000
Sb5 0.5000 0.0000 0.3380
Sb6 0.5000 0.0000 0.8380
Sb7 0.6620 0.6620 0.6620
Sb8 0.8380 0.5000 0.0000